! GGA-PBE Sr2DySnAu6, optimized geometry; values from VASP
&SYSTEM
  ibrav = 0, nat = 10, ntyp = 4
/
ATOMIC_SPECIES
Sr 87.62 Sr.upf
Dy 162.50 Dy.upf
Sn 118.71 Sn.upf
Au 196.97 Au.upf
ATOMIC_POSITIONS crystal
Sr 0.250 0.250 0.250
Sr 0.750 0.750 0.750
Dy 0.000 0.000 0.000
Sn 0.500 0.500 0.500
Au 0.254 0.254 0.746
Au 0.254 0.746 0.254
Au 0.254 0.746 0.746
Au 0.746 0.254 0.254
Au 0.746 0.254 0.746
Au 0.746 0.746 0.254
CELL_PARAMETERS angstrom
0.000 5.393 5.393
5.393 0.000 5.393
5.393 5.393 0.000
! - magnetic moment (μB/cell) = 0.00
! - formation energy (eV per atom) = -0.238
! - calculated volume (Å³ per cell) = 313.8